Arrangement A

Computed, not measured: a geometry-optimized Tm12Ni6Au structure at the GGA-PBE level of DFT.

Calculated values
* size of the total moment: 0.00 μB/cell

Unit cell a=8.0624 b=8.0624 c=8.0624 alpha=102.93 beta=102.93 gamma=102.93
With the nearest neighbours (Å) after each atom.
Positions (direct):
Tm 0.0725 0.9229 0.6675  2 Ni 2.59-2.66, 1 Au 2.83
Tm 0.0771 0.3325 0.9275  2 Ni 2.59-2.66, 1 Au 2.83
Tm 0.1718 0.5559 0.4126  4 Ni 2.75-2.95
Tm 0.3325 0.9275 0.0771  2 Ni 2.59-2.66, 1 Au 2.83
Tm 0.4126 0.1718 0.5559  4 Ni 2.75-2.95
Tm 0.4441 0.5874 0.8282  4 Ni 2.75-2.95
Tm 0.5559 0.4126 0.1718  4 Ni 2.75-2.95
Tm 0.5874 0.8282 0.4441  4 Ni 2.75-2.95
Tm 0.6675 0.0725 0.9229  2 Ni 2.59-2.66, 1 Au 2.83
Tm 0.8282 0.4441 0.5874  4 Ni 2.75-2.95
Tm 0.9229 0.6675 0.0725  2 Ni 2.59-2.66, 1 Au 2.83
Tm 0.9275 0.0771 0.3325  2 Ni 2.59-2.66, 1 Au 2.83
Ni 0.1444 0.3137 0.6166  5 Tm 2.59-2.82
Ni 0.3137 0.6166 0.1444  5 Tm 2.59-2.82
Ni 0.3834 0.8556 0.6863  5 Tm 2.59-2.82
Ni 0.6166 0.1444 0.3137  5 Tm 2.59-2.82
Ni 0.6863 0.3834 0.8556  5 Tm 2.59-2.82
Ni 0.8556 0.6863 0.3834  5 Tm 2.59-2.82
Au 0.0000 0.0000 0.0000  6 Tm 2.83

Arrangement B

Computed, not measured: a geometry-optimized Tm12Ni6Au structure at the GGA-PBE level of DFT.

Calculated values
* size of the total moment: 0.00 μB/cell

Unit cell a=8.2094 b=8.2094 c=8.2094 alpha=109.47 beta=109.47 gamma=109.47
With the nearest neighbours (Å) after each atom.
Positions (direct):
Tm 0.1136 0.2992 0.8143  3 Ni 2.61-2.85
Tm 0.1857 0.4849 0.2992  3 Ni 2.61-2.85
Tm 0.1857 0.8864 0.7008  3 Ni 2.61-2.85
Tm 0.2992 0.1857 0.4849  3 Ni 2.61-2.85
Tm 0.2992 0.8143 0.1136  3 Ni 2.61-2.85
Tm 0.4849 0.2992 0.1857  3 Ni 2.61-2.85
Tm 0.5151 0.7008 0.8143  3 Ni 2.61-2.85
Tm 0.7008 0.1857 0.8864  3 Ni 2.61-2.85
Tm 0.7008 0.8143 0.5151  3 Ni 2.61-2.85
Tm 0.8143 0.1136 0.2992  3 Ni 2.61-2.85
Tm 0.8143 0.5151 0.7008  3 Ni 2.61-2.85
Tm 0.8864 0.7008 0.1857  3 Ni 2.61-2.85
Ni 0.1258 0.5000 0.6258  1 Ni 2.38, 2 Tm 2.61
Ni 0.3742 0.8742 0.5000  1 Ni 2.38, 2 Tm 2.61
Ni 0.5000 0.3742 0.8742  1 Ni 2.38, 2 Tm 2.61
Ni 0.5000 0.6258 0.1258  1 Ni 2.38, 2 Tm 2.61
Ni 0.6258 0.1258 0.5000  1 Ni 2.38, 2 Tm 2.61
Ni 0.8742 0.5000 0.3742  1 Ni 2.38, 2 Tm 2.61
Au 0.0000 0.0000 0.0000  12 Tm 3.34

What are the relative energies? In meV/atom: arrangement A 160; arrangement B 0.

Arrangement A

Computed, not measured: a geometry-optimized Tm3NiAu structure at the GGA-PBE level of DFT.

Calculated values
* size of the total moment: 0.00 μB/cell

Unit cell a=4.0410 b=6.8551 c=8.7152 alpha=90.00 beta=90.00 gamma=90.00
With the nearest neighbours (Å) after each atom.
Positions (direct):
Tm 0.2500 0.0038 0.1644  3 Ni 2.73-2.84, 2 Au 3.00
Tm 0.2500 0.2500 0.5659  2 Au 2.88, 1 Ni 2.93
Tm 0.2500 0.4962 0.1644  3 Ni 2.73-2.84, 2 Au 3.00
Tm 0.7500 0.5038 0.8356  3 Ni 2.73-2.84, 2 Au 3.00
Tm 0.7500 0.7500 0.4341  2 Au 2.88, 1 Ni 2.93
Tm 0.7500 0.9962 0.8356  3 Ni 2.73-2.84, 2 Au 3.00
Ni 0.2500 0.2500 0.9018  7 Tm 2.73-2.93
Ni 0.7500 0.7500 0.0982  7 Tm 2.73-2.93
Au 0.2500 0.7500 0.6697  6 Tm 2.88-3.00
Au 0.7500 0.2500 0.3303  6 Tm 2.88-3.00

Arrangement B

Computed, not measured: a geometry-optimized Tm3NiAu structure at the GGA-PBE level of DFT.

Calculated values
* size of the total moment: 0.00 μB/cell

Unit cell a=5.8540 b=5.8540 c=8.3314 alpha=112.20 beta=112.20 gamma=66.10
With the nearest neighbours (Å) after each atom.
Positions (direct):
Tm 0.0233 0.0233 0.2270  2 Ni 2.66, 2 Au 2.97
Tm 0.2897 0.2897 0.6733  2 Ni 2.85, 2 Au 3.09
Tm 0.3203 0.3203 0.1375  2 Ni 2.79, 2 Au 3.08
Tm 0.6797 0.6797 0.8625  2 Ni 2.79, 2 Au 3.08
Tm 0.7103 0.7103 0.3267  2 Ni 2.85, 2 Au 3.09
Tm 0.9767 0.9767 0.7730  2 Ni 2.66, 2 Au 2.97
Ni 0.3070 0.6930 0.0000  1 Ni 2.46, 2 Tm 2.66
Ni 0.6930 0.3070 0.0000  1 Ni 2.46, 2 Tm 2.66
Au 0.2758 0.7242 0.5000  1 Au 2.86, 6 Tm 2.97-3.09
Au 0.7242 0.2758 0.5000  1 Au 2.86, 6 Tm 2.97-3.09

What are the relative energies? In meV/atom: arrangement A 27; arrangement B 0.

Arrangement A

Computed, not measured: a geometry-optimized NiWAu2 structure at the GGA-PBE level of DFT.

Calculated values
* size of the total moment: 0.00 μB/cell

Unit cell a=2.8531 b=2.8531 c=26.9556 alpha=90.00 beta=90.00 gamma=120.00
With the nearest neighbours (Å) after each atom.
Positions (direct):
Ni 0.0000 0.0000 0.0000  6 Au 2.70, 6 Ni 2.85
Ni 0.3333 0.6667 0.6667  6 Au 2.70, 6 Ni 2.85
Ni 0.6667 0.3333 0.3333  6 Au 2.70, 6 Ni 2.85
W 0.0000 0.0000 0.5000  6 W 2.85, 6 Au 2.87
W 0.3333 0.6667 0.1667  6 W 2.85, 6 Au 2.87
W 0.6667 0.3333 0.8333  6 W 2.85, 6 Au 2.87
Au 0.0000 0.0000 0.2540  3 Ni 2.70, 6 Au 2.85, 3 W 2.87
Au 0.0000 0.0000 0.7460  3 Ni 2.70, 6 Au 2.85, 3 W 2.87
Au 0.3333 0.6667 0.4127  3 Ni 2.70, 6 Au 2.85, 3 W 2.87
Au 0.3333 0.6667 0.9207  3 Ni 2.70, 6 Au 2.85, 3 W 2.87
Au 0.6667 0.3333 0.0793  3 Ni 2.70, 6 Au 2.85, 3 W 2.87
Au 0.6667 0.3333 0.5873  3 Ni 2.70, 6 Au 2.85, 3 W 2.87

Arrangement B

Computed, not measured: a geometry-optimized NiWAu2 structure at the GGA-PBE level of DFT.

Calculated values
* size of the total moment: 1.35 μB/cell

Unit cell a=5.7699 b=8.0238 c=2.7477 alpha=90.00 beta=90.00 gamma=90.00
With the nearest neighbours (Å) after each atom.
Positions (direct):
Ni 0.0000 0.0000 0.0000  2 Ni 2.75, 8 Au 2.83, 2 W 2.88
Ni 0.5000 0.5000 0.0000  2 Ni 2.75, 8 Au 2.83, 2 W 2.88
W 0.0000 0.5000 0.0000  2 W 2.75, 8 Au 2.83, 2 Ni 2.88
W 0.5000 0.0000 0.0000  2 W 2.75, 8 Au 2.83, 2 Ni 2.88
Au 0.2500 0.2500 0.5000  4 Au 2.75-2.88, 4 W 2.83, 4 Ni 2.83
Au 0.2500 0.7500 0.5000  4 Au 2.75-2.88, 4 W 2.83, 4 Ni 2.83
Au 0.7500 0.2500 0.5000  4 Au 2.75-2.88, 4 W 2.83, 4 Ni 2.83
Au 0.7500 0.7500 0.5000  4 Au 2.75-2.88, 4 W 2.83, 4 Ni 2.83

What are the relative energies? In meV/atom: arrangement A 0; arrangement B 105.

Arrangement A

Computed, not measured: a geometry-optimized NiWAu2 structure at the GGA-PBE level of DFT.

Calculated values
* size of the total moment: 0.00 μB/cell

Unit cell a=9.1721 b=2.7814 c=5.0124 alpha=90.00 beta=99.31 gamma=90.00
With the nearest neighbours (Å) after each atom.
Positions (direct):
Ni 0.0000 0.0000 0.0000  3 W 2.64-2.80, 5 Au 2.71-2.83, 2 Ni 2.78
Ni 0.5000 0.5000 0.0000  3 W 2.64-2.80, 5 Au 2.71-2.83, 2 Ni 2.78
W 0.2352 0.5000 0.2107  3 Ni 2.64-2.80, 5 Au 2.75-2.82, 2 W 2.78
W 0.7352 0.0000 0.2107  3 Ni 2.64-2.80, 5 Au 2.75-2.82, 2 W 2.78
Au 0.2493 0.0000 0.7353  5 Au 2.78-2.91, 4 W 2.78-2.96, 3 Ni 2.82-2.83
Au 0.4886 0.0000 0.4599  4 Ni 2.71-3.03, 3 W 2.75-2.82, 5 Au 2.78-2.91
Au 0.7493 0.5000 0.7353  5 Au 2.78-2.91, 4 W 2.78-2.96, 3 Ni 2.82-2.83
Au 0.9886 0.5000 0.4599  4 Ni 2.71-3.03, 3 W 2.75-2.82, 5 Au 2.78-2.91

Arrangement B

Computed, not measured: a geometry-optimized NiWAu2 structure at the GGA-PBE level of DFT.

Calculated values
* size of the total moment: 0.00 μB/cell

Unit cell a=2.8269 b=4.7029 c=9.4613 alpha=90.00 beta=90.00 gamma=90.00
With the nearest neighbours (Å) after each atom.
Positions (direct):
Ni 0.0000 0.0000 0.0000  4 Au 2.62, 4 W 2.74, 2 Ni 2.83
Ni 0.5000 0.5000 0.5000  4 Au 2.62, 4 W 2.74, 2 Ni 2.83
W 0.0000 0.0000 0.5000  4 Ni 2.74, 2 W 2.83, 4 Au 2.89
W 0.5000 0.5000 0.0000  4 Ni 2.74, 2 W 2.83, 4 Au 2.89
Au 0.0000 0.5000 0.2662  2 Ni 2.62, 6 Au 2.76-2.83, 2 W 2.89
Au 0.0000 0.5000 0.7338  2 Ni 2.62, 6 Au 2.76-2.83, 2 W 2.89
Au 0.5000 0.0000 0.2338  2 Ni 2.62, 6 Au 2.76-2.83, 2 W 2.89
Au 0.5000 0.0000 0.7662  2 Ni 2.62, 6 Au 2.76-2.83, 2 W 2.89

Arrangement C

Computed, not measured: a geometry-optimized NiWAu2 structure at the GGA-PBE level of DFT.

Calculated values
* size of the total moment: 0.00 μB/cell

Unit cell a=6.3186 b=6.3186 c=6.3186 alpha=90.00 beta=90.00 gamma=90.00
With the nearest neighbours (Å) after each atom.
Positions (direct):
Ni 0.0000 0.0000 0.0000  8 Au 2.74
Ni 0.0000 0.5000 0.5000  8 Au 2.74
Ni 0.5000 0.0000 0.5000  8 Au 2.74
Ni 0.5000 0.5000 0.0000  8 Au 2.74
W 0.0000 0.0000 0.5000  8 Au 2.74
W 0.0000 0.5000 0.0000  8 Au 2.74
W 0.5000 0.0000 0.0000  8 Au 2.74
W 0.5000 0.5000 0.5000  8 Au 2.74
Au 0.2500 0.2500 0.2500  4 W 2.74, 4 Ni 2.74
Au 0.2500 0.2500 0.7500  4 W 2.74, 4 Ni 2.74
Au 0.2500 0.7500 0.2500  4 W 2.74, 4 Ni 2.74
Au 0.2500 0.7500 0.7500  4 W 2.74, 4 Ni 2.74
Au 0.7500 0.2500 0.2500  4 W 2.74, 4 Ni 2.74
Au 0.7500 0.2500 0.7500  4 W 2.74, 4 Ni 2.74
Au 0.7500 0.7500 0.2500  4 W 2.74, 4 Ni 2.74
Au 0.7500 0.7500 0.7500  4 W 2.74, 4 Ni 2.74

What are the relative energies? In meV/atom: arrangement A 0; arrangement B 165; arrangement C 159.

Arrangement A

Computed, not measured: a geometry-optimized NiWAu2 structure at the GGA-PBE level of DFT.

Calculated values
* size of the total moment: 0.00 μB/cell

Unit cell a=7.1939 b=7.1939 c=5.2685 alpha=90.00 beta=90.00 gamma=90.00
With the nearest neighbours (Å) after each atom.
Positions (direct):
Ni 0.0000 0.0000 0.0000  4 Au 2.56, 2 W 2.63
Ni 0.0000 0.5000 0.2500  4 Au 2.56, 2 W 2.63
Ni 0.5000 0.0000 0.7500  4 Au 2.56, 2 W 2.63
Ni 0.5000 0.5000 0.5000  4 Au 2.56, 2 W 2.63
W 0.0000 0.0000 0.5000  2 Ni 2.63, 4 Au 2.70
W 0.0000 0.5000 0.7500  2 Ni 2.63, 4 Au 2.70
W 0.5000 0.0000 0.2500  2 Ni 2.63, 4 Au 2.70
W 0.5000 0.5000 0.0000  2 Ni 2.63, 4 Au 2.70
Au 0.2351 0.2500 0.1250  2 Ni 2.56, 2 Au 2.64, 2 W 2.70
Au 0.2500 0.7351 0.3750  2 Ni 2.56, 2 Au 2.64, 2 W 2.70
Au 0.2500 0.7649 0.8750  2 Ni 2.56, 2 Au 2.64, 2 W 2.70
Au 0.2649 0.2500 0.6250  2 Ni 2.56, 2 Au 2.64, 2 W 2.70
Au 0.7351 0.7500 0.6250  2 Ni 2.56, 2 Au 2.64, 2 W 2.70
Au 0.7500 0.2351 0.8750  2 Ni 2.56, 2 Au 2.64, 2 W 2.70
Au 0.7500 0.2649 0.3750  2 Ni 2.56, 2 Au 2.64, 2 W 2.70
Au 0.7649 0.7500 0.1250  2 Ni 2.56, 2 Au 2.64, 2 W 2.70

Arrangement B

Computed, not measured: a geometry-optimized NiWAu2 structure at the GGA-PBE level of DFT.

Calculated values
* size of the total moment: 0.00 μB/cell

Unit cell a=4.1001 b=4.1001 c=7.4291 alpha=90.00 beta=90.00 gamma=90.00
With the nearest neighbours (Å) after each atom.
Positions (direct):
Ni 0.0000 0.0000 0.0000  4 W 2.77, 8 Au 2.77-2.90
Ni 0.5000 0.5000 0.5000  4 W 2.77, 8 Au 2.77-2.90
W 0.0000 0.5000 0.7500  4 Ni 2.77, 8 Au 2.77-2.90
W 0.5000 0.0000 0.2500  4 Ni 2.77, 8 Au 2.77-2.90
Au 0.0000 0.0000 0.5000  4 W 2.77, 4 Au 2.77, 4 Ni 2.90
Au 0.0000 0.5000 0.2500  4 Ni 2.77, 4 Au 2.77, 4 W 2.90
Au 0.5000 0.0000 0.7500  4 Ni 2.77, 4 Au 2.77, 4 W 2.90
Au 0.5000 0.5000 0.0000  4 W 2.77, 4 Au 2.77, 4 Ni 2.90

What are the relative energies? In meV/atom: arrangement A 442; arrangement B 0.

Arrangement A

Computed, not measured: a geometry-optimized NiWAu2 structure at the GGA-PBE level of DFT.

Calculated values
* size of the total moment: 0.00 μB/cell

Unit cell a=4.1060 b=4.1060 c=7.4345 alpha=90.00 beta=90.00 gamma=90.00
With the nearest neighbours (Å) after each atom.
Positions (direct):
Ni 0.0000 0.0000 0.0000  8 Au 2.77, 4 W 2.90
Ni 0.5000 0.5000 0.5000  8 Au 2.77, 4 W 2.90
W 0.0000 0.0000 0.5000  8 Au 2.77, 4 Ni 2.90
W 0.5000 0.5000 0.0000  8 Au 2.77, 4 Ni 2.90
Au 0.0000 0.5000 0.2500  4 W 2.77, 4 Ni 2.77, 4 Au 2.90
Au 0.0000 0.5000 0.7500  4 W 2.77, 4 Ni 2.77, 4 Au 2.90
Au 0.5000 0.0000 0.2500  4 W 2.77, 4 Ni 2.77, 4 Au 2.90
Au 0.5000 0.0000 0.7500  4 W 2.77, 4 Ni 2.77, 4 Au 2.90

Arrangement B

Computed, not measured: a geometry-optimized NiWAu2 structure at the GGA-PBE level of DFT.

Calculated values
* size of the total moment: 0.20 μB/cell

Unit cell a=2.8285 b=2.8285 c=7.7722 alpha=90.00 beta=90.00 gamma=90.00
With the nearest neighbours (Å) after each atom.
Positions (direct):
Ni 0.0000 0.0000 0.0000  8 Au 2.71, 4 Ni 2.83
W 0.0000 0.0000 0.5000  4 W 2.83, 8 Au 2.87
Au 0.5000 0.5000 0.2345  4 Ni 2.71, 4 Au 2.83, 4 W 2.87
Au 0.5000 0.5000 0.7655  4 Ni 2.71, 4 Au 2.83, 4 W 2.87

What are the relative energies? In meV/atom: arrangement A 132; arrangement B 0.